DFT (PBE) results for PbIF after structural relaxation.

Computed properties:
Offset from the most stable computed form, meV per atom: 314
Energy relative to the elements, uncorrected, meV/atom: -1195

Structure (CIF):
```
data_PbIF
_chemical_formula_sum 'Pb1 I1 F1'
_cell_length_a 6.138
_cell_length_b 6.138
_cell_length_c 6.138
_cell_angle_alpha 144.12
_cell_angle_beta 144.12
_cell_angle_gamma 51.65
_symmetry_space_group_name_H-M 'P 1'
_symmetry_Int_Tables_number 1
loop_
_symmetry_equiv_pos_as_xyz
'x,y,z'
loop_
_atom_site_label
_atom_site_type_symbol
_atom_site_fract_x
_atom_site_fract_y
_atom_site_fract_z
Pb1 Pb 0.000 0.000 0.000
I1 I 0.295 0.295 0.000
F1 F 0.564 0.564 0.000
```

=====

DFT (PBE) results for ReTcRh3 after structural relaxation.

Computed properties:
Offset from the most stable computed form, meV per atom: 557
ΔE_f, kJ/mol of formula units: 233

Structure (CIF):
```
data_ReTcRh3
_chemical_formula_sum 'Re2 Tc2 Rh6'
_cell_length_a 6.371
_cell_length_b 6.371
_cell_length_c 6.371
_cell_angle_alpha 138.43
_cell_angle_beta 84.29
_cell_angle_gamma 110.57
_symmetry_space_group_name_H-M 'P 1'
_symmetry_Int_Tables_number 1
loop_
_symmetry_equiv_pos_as_xyz
'x,y,z'
loop_
_atom_site_label
_atom_site_type_symbol
_atom_site_fract_x
_atom_site_fract_y
_atom_site_fract_z
Re1 Re 0.425 0.175 0.250
Re2 Re 0.575 0.825 0.750
Tc1 Tc 0.000 0.500 0.500
Tc2 Tc 0.500 0.500 0.000
Rh1 Rh 0.061 0.145 0.916
Rh2 Rh 0.187 0.437 0.750
Rh3 Rh 0.271 0.855 0.416
Rh4 Rh 0.729 0.145 0.584
Rh5 Rh 0.813 0.563 0.250
Rh6 Rh 0.939 0.855 0.084
```

=====

DFT (PBE) results for U3As2S after structural relaxation.

Computed properties:
Offset from the most stable computed form, meV per atom: 0
Energy relative to the elements, uncorrected, meV/atom: -927

Structure (CIF):
```
data_U3As2S
_chemical_formula_sum 'U12 As8 S4'
_cell_length_a 13.203
_cell_length_b 12.587
_cell_length_c 6.970
_cell_angle_alpha 79.25
_cell_angle_beta 69.50
_cell_angle_gamma 31.24
_symmetry_space_group_name_H-M 'P 1'
_symmetry_Int_Tables_number 1
loop_
_symmetry_equiv_pos_as_xyz
'x,y,z'
loop_
_atom_site_label
_atom_site_type_symbol
_atom_site_fract_x
_atom_site_fract_y
_atom_site_fract_z
U1 U 0.042 0.537 0.198
U2 U 0.114 0.636 0.636
U3 U 0.198 0.723 0.042
U4 U 0.277 0.802 0.463
U5 U 0.364 0.886 0.886
U6 U 0.463 0.958 0.277
U7 U 0.537 0.042 0.723
U8 U 0.636 0.114 0.114
U9 U 0.723 0.198 0.537
U10 U 0.802 0.277 0.958
U11 U 0.886 0.364 0.364
U12 U 0.958 0.463 0.802
As1 As 0.128 0.128 0.622
As2 As 0.293 0.293 0.457
As3 As 0.378 0.378 0.872
As4 As 0.457 0.457 0.293
As5 As 0.543 0.543 0.707
As6 As 0.622 0.622 0.128
As7 As 0.707 0.707 0.543
As8 As 0.872 0.872 0.378
S1 S 0.042 0.042 0.208
S2 S 0.208 0.208 0.042
S3 S 0.792 0.792 0.958
S4 S 0.958 0.958 0.792
```

=====

DFT (PBE) results for SbPPb2 after structural relaxation.

Computed properties:
Offset from the most stable computed form, meV per atom: 42
Energy relative to the elements, uncorrected, meV/atom: 158

Structure (CIF):
```
data_SbPPb2
_chemical_formula_sum 'Sb1 P1 Pb2'
_cell_length_a 4.850
_cell_length_b 3.791
_cell_length_c 6.359
_cell_angle_alpha 90.00
_cell_angle_beta 105.59
_cell_angle_gamma 90.00
_symmetry_space_group_name_H-M 'P 1'
_symmetry_Int_Tables_number 1
loop_
_symmetry_equiv_pos_as_xyz
'x,y,z'
loop_
_atom_site_label
_atom_site_type_symbol
_atom_site_fract_x
_atom_site_fract_y
_atom_site_fract_z
Sb1 Sb 0.000 0.000 0.000
P1 P 0.274 0.500 0.309
Pb1 Pb 0.419 0.500 0.784
Pb2 Pb 0.742 0.000 0.422
```

=====

DFT (PBE) results for LaAsW4 after structural relaxation.

Computed properties:
ΔE_f, kJ/mol of formula units: 377

Structure (CIF):
```
data_LaAsW4
_chemical_formula_sum 'La1 As1 W4'
_cell_length_a 5.507
_cell_length_b 5.507
_cell_length_c 5.507
_cell_angle_alpha 60.00
_cell_angle_beta 60.00
_cell_angle_gamma 60.00
_symmetry_space_group_name_H-M 'P 1'
_symmetry_Int_Tables_number 1
loop_
_symmetry_equiv_pos_as_xyz
'x,y,z'
loop_
_atom_site_label
_atom_site_type_symbol
_atom_site_fract_x
_atom_site_fract_y
_atom_site_fract_z
La1 La 0.000 0.000 0.000
As1 As 0.250 0.250 0.250
W1 W 0.125 0.625 0.625
W2 W 0.625 0.125 0.625
W3 W 0.625 0.625 0.125
W4 W 0.625 0.625 0.625
```

=====

DFT (PBE) results for MnFeIr2 after structural relaxation.

Computed properties:
Offset from the most stable computed form, meV per atom: 137
ΔE_f, kJ/mol of formula units: -20

Structure (CIF):
```
data_MnFeIr2
_chemical_formula_sum 'Mn1 Fe1 Ir2'
_cell_length_a 8.653
_cell_length_b 8.653
_cell_length_c 8.653
_cell_angle_alpha 17.86
_cell_angle_beta 17.86
_cell_angle_gamma 17.86
_symmetry_space_group_name_H-M 'P 1'
_symmetry_Int_Tables_number 1
loop_
_symmetry_equiv_pos_as_xyz
'x,y,z'
loop_
_atom_site_label
_atom_site_type_symbol
_atom_site_fract_x
_atom_site_fract_y
_atom_site_fract_z
Mn1 Mn 0.000 0.000 0.000
Fe1 Fe 0.500 0.500 0.500
Ir1 Ir 0.252 0.252 0.252
Ir2 Ir 0.748 0.748 0.748
```

=====

DFT (PBE) results for LaTm3Tl4Te8 after structural relaxation.

Computed properties:
Energy relative to the elements, uncorrected, meV/atom: -1054

Structure (CIF):
```
data_LaTm3Tl4Te8
_chemical_formula_sum 'La1 Tm3 Tl4 Te8'
_cell_length_a 9.674
_cell_length_b 9.674
_cell_length_c 9.674
_cell_angle_alpha 55.12
_cell_angle_beta 55.12
_cell_angle_gamma 55.12
_symmetry_space_group_name_H-M 'P 1'
_symmetry_Int_Tables_number 1
loop_
_symmetry_equiv_pos_as_xyz
'x,y,z'
loop_
_atom_site_label
_atom_site_type_symbol
_atom_site_fract_x
_atom_site_fract_y
_atom_site_fract_z
La1 La 0.000 0.000 0.000
Tm1 Tm 0.000 0.500 0.500
Tm2 Tm 0.500 0.000 0.500
Tm3 Tm 0.500 0.500 0.000
Tl1 Tl 0.000 0.000 0.500
Tl2 Tl 0.000 0.500 0.000
Tl3 Tl 0.500 0.000 0.000
Tl4 Tl 0.500 0.500 0.500
Te1 Te 0.244 0.244 0.725
Te2 Te 0.244 0.725 0.244
Te3 Te 0.264 0.264 0.264
Te4 Te 0.275 0.756 0.756
Te5 Te 0.725 0.244 0.244
Te6 Te 0.736 0.736 0.736
Te7 Te 0.756 0.275 0.756
Te8 Te 0.756 0.756 0.275
```

=====

DFT (PBE) results for CrGeOs after structural relaxation.

Computed properties:
ΔE_f, kJ/mol of formula units: 27

Structure (CIF):
```
data_CrGeOs
_chemical_formula_sum 'Cr2 Ge2 Os2'
_cell_length_a 6.704
_cell_length_b 6.704
_cell_length_c 4.304
_cell_angle_alpha 91.91
_cell_angle_beta 91.91
_cell_angle_gamma 25.40
_symmetry_space_group_name_H-M 'P 1'
_symmetry_Int_Tables_number 1
loop_
_symmetry_equiv_pos_as_xyz
'x,y,z'
loop_
_atom_site_label
_atom_site_type_symbol
_atom_site_fract_x
_atom_site_fract_y
_atom_site_fract_z
Cr1 Cr 0.000 0.000 0.000
Cr2 Cr 0.500 0.500 0.500
Ge1 Ge 0.158 0.158 0.600
Ge2 Ge 0.842 0.842 0.400
Os1 Os 0.334 0.334 0.887
Os2 Os 0.666 0.666 0.113
```

=====

DFT (PBE) results for AcAl2Ru after structural relaxation.

Computed properties:
ΔE_f, kJ/mol of formula units: -120

Structure (CIF):
```
data_AcAl2Ru
_chemical_formula_sum 'Ac1 Al2 Ru1'
_cell_length_a 3.249
_cell_length_b 3.249
_cell_length_c 7.709
_cell_angle_alpha 90.00
_cell_angle_beta 90.00
_cell_angle_gamma 90.00
_symmetry_space_group_name_H-M 'P 1'
_symmetry_Int_Tables_number 1
loop_
_symmetry_equiv_pos_as_xyz
'x,y,z'
loop_
_atom_site_label
_atom_site_type_symbol
_atom_site_fract_x
_atom_site_fract_y
_atom_site_fract_z
Ac1 Ac 0.000 0.000 0.000
Al1 Al 0.500 0.500 0.328
Al2 Al 0.500 0.500 0.672
Ru1 Ru 0.000 0.000 0.500
```

=====

DFT (PBE) results for LaSe3S after structural relaxation.

Computed properties:
Offset from the most stable computed form, meV per atom: 851
Energy relative to the elements, uncorrected, meV/atom: 181

Structure (CIF):
```
data_LaSe3S
_chemical_formula_sum 'La1 Se3 S1'
_cell_length_a 5.874
_cell_length_b 5.874
_cell_length_c 5.874
_cell_angle_alpha 90.00
_cell_angle_beta 90.00
_cell_angle_gamma 90.00
_symmetry_space_group_name_H-M 'P 1'
_symmetry_Int_Tables_number 1
loop_
_symmetry_equiv_pos_as_xyz
'x,y,z'
loop_
_atom_site_label
_atom_site_type_symbol
_atom_site_fract_x
_atom_site_fract_y
_atom_site_fract_z
La1 La 0.000 0.000 0.000
Se1 Se 0.000 0.000 0.500
Se2 Se 0.000 0.500 0.000
Se3 Se 0.500 0.000 0.000
S1 S 0.500 0.500 0.500
```

=====

DFT (PBE) results for CePm5Pb8 after structural relaxation.

Computed properties:
ΔE_f, kJ/mol of formula units: -510

Structure (CIF):
```
data_CePm5Pb8
_chemical_formula_sum 'Ce1 Pm5 Pb8'
_cell_length_a 8.300
_cell_length_b 8.300
_cell_length_c 8.300
_cell_angle_alpha 108.71
_cell_angle_beta 108.71
_cell_angle_gamma 111.01
_symmetry_space_group_name_H-M 'P 1'
_symmetry_Int_Tables_number 1
loop_
_symmetry_equiv_pos_as_xyz
'x,y,z'
loop_
_atom_site_label
_atom_site_type_symbol
_atom_site_fract_x
_atom_site_fract_y
_atom_site_fract_z
Ce1 Ce 0.000 0.000 0.000
Pm1 Pm 0.100 0.254 0.606
Pm2 Pm 0.250 0.750 0.500
Pm3 Pm 0.505 0.900 0.154
Pm4 Pm 0.648 0.495 0.394
Pm5 Pm 0.746 0.352 0.846
Pb1 Pb 0.060 0.648 0.772
Pb2 Pb 0.229 0.460 0.086
Pb3 Pb 0.352 0.124 0.412
Pb4 Pb 0.374 0.143 0.914
Pb5 Pb 0.540 0.626 0.769
Pb6 Pb 0.712 0.940 0.588
Pb7 Pb 0.857 0.771 0.231
Pb8 Pb 0.876 0.288 0.228
```

=====

Number 1: energy -3.57 eV/atom, volume 79 Å³/cell. Number 2: energy -8.49 eV/atom, volume 155 Å³/cell. Number 3: energy -8.81 eV/atom, volume 547 Å³/cell. Number 4: energy -4.08 eV/atom, volume 113 Å³/cell. Number 5: energy -9.58 eV/atom, volume 118 Å³/cell. Number 6: energy -8.89 eV/atom, volume 53 Å³/cell. Number 7: energy -4.36 eV/atom, volume 567 Å³/cell. Number 8: energy -8.40 eV/atom, volume 83 Å³/cell. Number 9: energy -5.53 eV/atom, volume 81 Å³/cell. Number 10: energy -3.72 eV/atom, volume 203 Å³/cell. Number 11: energy -4.62 eV/atom, volume 440 Å³/cell.